[1]
First-principles (GGA-PBEsol) data for a relaxed Li3CoO2F crystal, as listed in Alexandria via LeMat-Bulk.

CIF file:
```
data_Li3CoO2F
_space_group_name_H-M_alt 'P n n m'
_space_group_IT_number 58
_cell_length_a 7.9502
_cell_length_b 9.3916
_cell_length_c 3.7561
_cell_angle_alpha 90.00
_cell_angle_beta 90.00
_cell_angle_gamma 90.00
loop_
_space_group_symop_operation_xyz
'x,y,z'
'-x,-y,-z'
'-x,-y,z'
'x,y,-z'
'x+1/2,-y+1/2,-z+1/2'
'-x+1/2,y+1/2,z+1/2'
'-x+1/2,y+1/2,-z+1/2'
'x+1/2,-y+1/2,z+1/2'
loop_
_atom_site_label
_atom_site_type_symbol
_atom_site_fract_x
_atom_site_fract_y
_atom_site_fract_z
Li1 Li 0.1084 0.1472 0.0000
Li2 Li 0.1183 0.9115 0.5000
Li3 Li 0.1555 0.3285 0.5000
Co1 Co 0.1230 0.5813 0.0000
O1 O 0.1022 0.3755 0.0000
O2 O 0.1566 0.1205 0.5000
F1 F 0.1207 0.8782 0.0000
```

Total energy, eV per cell: -154.5
Density of states at the Fermi level, states/eV/f.u.: 1.4
Formation energy from raw total energies, kcal/mol of atoms: -41.4
Density, g/cm³: 3.1



[2]
First-principles (GGA-PBEsol) data for a relaxed Li2CoOF3 crystal, as listed in Alexandria via LeMat-Bulk.

CIF file:
```
data_Li2CoOF3
_space_group_name_H-M_alt 'C 1 2/m 1'
_space_group_IT_number 12
_cell_length_a 10.0259
_cell_length_b 5.6980
_cell_length_c 5.7538
_cell_angle_alpha 90.00
_cell_angle_beta 124.04
_cell_angle_gamma 90.00
loop_
_space_group_symop_operation_xyz
'x,y,z'
'-x,-y,-z'
'-x,y,-z'
'x,-y,z'
'x+1/2,y+1/2,z'
'-x+1/2,-y+1/2,-z'
'-x+1/2,y+1/2,-z'
'x+1/2,-y+1/2,z'
loop_
_atom_site_label
_atom_site_type_symbol
_atom_site_fract_x
_atom_site_fract_y
_atom_site_fract_z
Li1 Li 0.0000 0.0000 0.0000
Li2 Li 0.0000 0.0000 0.5000
Li3 Li 0.1180 0.5000 0.3929
Co1 Co 0.2500 0.2500 0.0000
O1 O 0.2503 0.0000 0.1866
F1 F 0.0179 0.2381 0.7674
F2 F 0.2396 0.0000 0.7203
```

Total energy, eV per cell: -152.0
Density of states at the Fermi level, states/eV/f.u.: 4.8
Formation energy from raw total energies, kcal/mol of atoms: -50.4
Relative energy among the computed polymorphs, meV per atom: 21
Density, g/cm³: 3.6



[3]
First-principles (GGA-PBEsol) data for a relaxed LiCo5O7F crystal, as listed in Alexandria via LeMat-Bulk.

CIF file:
```
data_LiCo5O7F
_space_group_name_H-M_alt 'R 3 m'
_space_group_IT_number 160
_space_group_name_Hall 'R 3 -2"'
_cell_length_a 5.6534
_cell_length_b 5.6534
_cell_length_c 13.7474
_cell_angle_alpha 90.00
_cell_angle_beta 90.00
_cell_angle_gamma 120.00
loop_
_atom_site_label
_atom_site_type_symbol
_atom_site_fract_x
_atom_site_fract_y
_atom_site_fract_z
Li1 Li 0.0000 0.0000 0.0000
Co1 Co 0.0000 0.0000 0.3832
Co2 Co 0.0000 0.0000 0.7640
Co3 Co 0.1688 0.3377 0.2209
O1 O 0.0000 0.0000 0.6245
O2 O 0.0343 0.5172 0.1386
O3 O 0.1862 0.3725 0.9626
F1 F 0.0000 0.0000 0.1364
```

Total energy, eV per cell: -290.1
Density of states at the Fermi level, states/eV/f.u.: 0.8
Formation energy from raw total energies, kcal/mol of atoms: -28.6
Density, g/cm³: 5.7



[4]
First-principles (GGA-PBEsol) data for a relaxed Li2CoO2F crystal, as listed in Alexandria via LeMat-Bulk.

CIF file:
```
data_Li2CoO2F
_space_group_name_H-M_alt 'P -3 m 1'
_space_group_IT_number 164
_space_group_name_Hall '-P 3 2"'
_cell_length_a 2.8178
_cell_length_b 2.8178
_cell_length_c 13.7904
_cell_angle_alpha 90.00
_cell_angle_beta 90.00
_cell_angle_gamma 120.00
loop_
_atom_site_label
_atom_site_type_symbol
_atom_site_fract_x
_atom_site_fract_y
_atom_site_fract_z
Li1 Li 0.0000 0.0000 0.0000
Li2 Li 0.0000 0.0000 0.5000
Li3 Li 0.3333 0.6667 0.1673
Co1 Co 0.3333 0.6667 0.6660
O1 O 0.0000 0.0000 0.2619
O2 O 0.3333 0.6667 0.4061
F1 F 0.3333 0.6667 0.9162
```

Total energy, eV per cell: -72.3
Formation energy from raw total energies, kcal/mol of atoms: -46.2
Density, g/cm³: 4.3



[5]
First-principles (GGA-PBEsol) data for a relaxed Li3Co3OF7 crystal, as listed in Alexandria via LeMat-Bulk.

CIF file:
```
data_Li3Co3OF7
_space_group_name_H-M_alt 'R 3 m'
_space_group_IT_number 160
_space_group_name_Hall 'R 3 -2"'
_cell_length_a 5.7719
_cell_length_b 5.7719
_cell_length_c 15.0099
_cell_angle_alpha 90.00
_cell_angle_beta 90.00
_cell_angle_gamma 120.00
loop_
_atom_site_label
_atom_site_type_symbol
_atom_site_fract_x
_atom_site_fract_y
_atom_site_fract_z
Li1 Li 0.0000 0.0000 0.0000
Li2 Li 0.0000 0.0000 0.2565
Li3 Li 0.0000 0.0000 0.6188
Co1 Co 0.1858 0.3716 0.4629
O1 O 0.0000 0.0000 0.8764
F1 F 0.0000 0.0000 0.3935
F2 F 0.0209 0.5105 0.3710
F3 F 0.1729 0.3458 0.2054
```

Total energy, eV per cell: -229.4
Density of states at the Fermi level, states/eV/f.u.: 1.7
Formation energy from raw total energies, kcal/mol of atoms: -47.1
Relative energy among the computed polymorphs, meV per atom: 0
Density, g/cm³: 4.0



[6]
First-principles (GGA-PBEsol) data for a relaxed Li8CoO4F2 crystal, as listed in Alexandria via LeMat-Bulk.

CIF file:
```
data_Li8CoO4F2
_space_group_name_H-M_alt 'P -1'
_space_group_IT_number 2
_cell_length_a 5.2528
_cell_length_b 5.3186
_cell_length_c 5.8989
_cell_angle_alpha 93.94
_cell_angle_beta 102.56
_cell_angle_gamma 113.66
loop_
_space_group_symop_operation_xyz
'x,y,z'
'-x,-y,-z'
loop_
_atom_site_label
_atom_site_type_symbol
_atom_site_fract_x
_atom_site_fract_y
_atom_site_fract_z
Li1 Li 0.0354 0.2005 0.1145
Li2 Li 0.1665 0.5991 0.3973
Li3 Li 0.2879 0.4797 0.8361
Li4 Li 0.4556 0.9464 0.2197
Co1 Co 0.0000 0.0000 0.5000
O1 O 0.0694 0.8793 0.2328
O2 O 0.1918 0.7492 0.7023
F1 F 0.3738 0.5530 0.1761
```

Total energy, eV per cell: -77.2
Density of states at the Fermi level, states/eV/f.u.: 1.0
Formation energy from raw total energies, kcal/mol of atoms: -44.3
Density, g/cm³: 2.5